[1]
A plane-wave DFT calculation with PBE was carried out for an optimized crystal structure of AlIn2H.

- Space-group type: I-42d
- DOS at the Fermi energy: 0.3710 states/eV/atom
- E above lowest polymorph: 0.000 eV/atom

Lattice parameters (Å, degrees): 7.5671 7.5671 7.5671 140.08 140.08 57.74
Closest atoms and distances in Å follow each position.
Positions (direct):
Al  0.0000  0.0000  0.0000  4 In 2.77
Al  0.7500  0.2500  0.5000  4 In 2.77
In  0.2239  0.6250  0.0989  2 H 2.24
In  0.3750  0.4739  0.5989  2 H 2.24
In  0.5261  0.1250  0.9011  2 H 2.24
In  0.8750  0.7761  0.4011  2 H 2.24
H  0.2500  0.7500  0.5000  4 In 2.24
H  0.5000  0.5000  0.0000  4 In 2.24


[2]
A plane-wave DFT calculation with PBE was carried out for an optimized crystal structure of Al3InH.

- Space-group type: Pm-3m
- DOS at the Fermi energy: 0.5570 states/eV/atom
- E above lowest polymorph: 0.989 eV/atom

Lattice parameters (Å, degrees): 5.3333 5.3333 5.3333 90.00 90.00 90.00
Closest atoms and distances in Å follow each position.
Positions (direct):
Al  0.0000  0.0000  0.5000  2 In 2.67
Al  0.0000  0.5000  0.0000  2 In 2.67
Al  0.5000  0.0000  0.0000  2 In 2.67
In  0.0000  0.0000  0.0000  6 Al 2.67
H  0.5000  0.5000  0.5000  12 Al 3.77


[3]
A plane-wave DFT calculation with PBE was carried out for an optimized crystal structure of AlIn2H.

- Space-group type: Fm-3m
- DOS at the Fermi energy: 0.5043 states/eV/atom
- E above lowest polymorph: 0.037 eV/atom

Lattice parameters (Å, degrees): 4.7669 4.7669 4.7669 60.00 60.00 60.00
Closest atoms and distances in Å follow each position.
Positions (direct):
Al  0.0000  0.0000  0.0000  8 In 2.92
In  0.2500  0.2500  0.2500  4 H 2.92, 4 Al 2.92
In  0.7500  0.7500  0.7500  4 H 2.92, 4 Al 2.92
H  0.5000  0.5000  0.5000  8 In 2.92